i | VASP calculation (GGA-PBE) on crystalline Sr4S2N at its relaxed geometry.

Cell lengths 5.0696, 5.0696, 15.0626 Å; angles 90.00, 90.00, 90.00 degrees
Closest atoms and distances in Å follow each position.
Space group I4/mmm (No. 139)
Symmetry-distinct sites (fractional):
Sr 0.0000 0.0000 0.1743 [4 per cell]  1 N 2.63, 1 S 2.92
Sr 0.0000 0.5000 0.0000 [4 per cell]  2 N 2.53
S 0.0000 0.0000 0.3682 [4 per cell]  5 Sr 2.92-3.22
N 0.0000 0.0000 0.0000 [2 per cell]  6 Sr 2.53-2.63

* DOS(E_F): 0.280 states/eV per atom

***

ii | VASP calculation (GGA-PBE) on crystalline Sr4S2N at its relaxed geometry.

Cell lengths 15.3894, 4.0634, 7.1053 Å; angles 90.00, 116.88, 90.00 degrees
Closest atoms and distances in Å follow each position.
Space group C2/m (No. 12)
Symmetry-distinct sites (fractional):
Sr 0.1163 0.0000 0.2581 [4 per cell]  2 N 2.78, 3 S 3.03-3.09
Sr 0.1173 0.5000 0.8213 [4 per cell]  1 N 2.63, 2 S 2.92
S 0.2310 0.0000 0.7344 [4 per cell]  6 Sr 2.92-3.09
N 0.0000 0.5000 0.0000 [2 per cell]  6 Sr 2.63-2.78

* DOS(E_F): 0.174 states/eV per atom

***

Tell me which of them is the least stable. Sure, it is i.

***

i | VASP calculation (GGA-PBE) on crystalline SrTeSN2 at its relaxed geometry.

Cell lengths 4.4160, 4.4160, 5.0445 Å; angles 90.00, 90.00, 90.00 degrees
Closest atoms and distances in Å follow each position.
Space group P4/mmm (No. 123)
Symmetry-distinct sites (fractional):
Sr 0.0000 0.0000 0.0000 [1 per cell]  4 Te 3.12, 8 N 3.35
Te 0.5000 0.5000 0.0000 [1 per cell]  2 S 2.52
S 0.5000 0.5000 0.5000 [1 per cell]  4 N 2.21
N 0.0000 0.5000 0.5000 [2 per cell]  2 S 2.21

* DOS(E_F): 0.802 states/eV per atom

***

ii | VASP calculation (GGA-PBE) on crystalline SrTeSN2 at its relaxed geometry.

Cell lengths 4.7604, 4.7604, 6.0129 Å; angles 90.00, 90.00, 90.00 degrees
Closest atoms and distances in Å follow each position.
Space group P4/mmm (No. 123)
Symmetry-distinct sites (fractional):
Sr 0.0000 0.0000 0.0000 [1 per cell]  4 N 2.38
Te 0.5000 0.5000 0.5000 [1 per cell]  4 S 3.37
S 0.0000 0.0000 0.5000 [1 per cell]  2 Sr 3.01, 4 Te 3.37
N 0.0000 0.5000 0.0000 [2 per cell]  2 Sr 2.38

* DOS(E_F): 0.739 states/eV per atom

***

Tell me which of them is the least stable. Sure, it is ii.

***

i | VASP calculation (GGA-PBE) on crystalline SrTiSN2 at its relaxed geometry.

Cell lengths 4.0469, 4.0469, 4.9666 Å; angles 90.00, 90.00, 90.00 degrees
Closest atoms and distances in Å follow each position.
Space group P4/mmm (No. 123)
Symmetry-distinct sites (fractional):
Sr 0.0000 0.0000 0.0000 [1 per cell]  4 S 2.86, 8 N 3.20
Ti 0.5000 0.5000 0.5000 [1 per cell]  4 N 2.02
S 0.5000 0.5000 0.0000 [1 per cell]  2 Ti 2.48
N 0.0000 0.5000 0.5000 [2 per cell]  2 Ti 2.02

* DOS(E_F): 0.827 states/eV per atom

***

ii | VASP calculation (GGA-PBE) on crystalline SrTiSN2 at its relaxed geometry.

Cell lengths 4.2539, 4.2539, 5.5770 Å; angles 90.00, 90.00, 90.00 degrees
Closest atoms and distances in Å follow each position.
Space group P4/mmm (No. 123)
Symmetry-distinct sites (fractional):
Sr 0.0000 0.0000 0.0000 [1 per cell]  4 N 2.13
Ti 0.5000 0.5000 0.5000 [1 per cell]  4 S 3.01
S 0.0000 0.0000 0.5000 [1 per cell]  2 Sr 2.79, 4 Ti 3.01
N 0.0000 0.5000 0.0000 [2 per cell]  2 Sr 2.13

* DOS(E_F): 0.923 states/eV per atom

***

Tell me which of them is the least stable. Sure, it is ii.

***

i | VASP calculation (GGA-PBE) on crystalline SrTlSN2 at its relaxed geometry.

Cell lengths 4.4338, 4.4338, 5.4804 Å; angles 90.00, 90.00, 90.00 degrees
Closest atoms and distances in Å follow each position.
Space group P4/mmm (No. 123)
Symmetry-distinct sites (fractional):
Sr 0.0000 0.0000 0.0000 [1 per cell]  4 S 3.14
Tl 0.5000 0.5000 0.5000 [1 per cell]  4 N 2.22
S 0.5000 0.5000 0.0000 [1 per cell]  2 Tl 2.74
N 0.0000 0.5000 0.5000 [2 per cell]  2 Tl 2.22

* DOS(E_F): 0.517 states/eV per atom

***

ii | VASP calculation (GGA-PBE) on crystalline SrTlSN2 at its relaxed geometry.

Cell lengths 4.9870, 4.9870, 5.8445 Å; angles 90.00, 90.00, 90.00 degrees
Closest atoms and distances in Å follow each position.
Space group P4/mmm (No. 123)
Symmetry-distinct sites (fractional):
Sr 0.0000 0.0000 0.0000 [1 per cell]  4 N 2.49
Tl 0.5000 0.5000 0.5000 [1 per cell]  4 S 3.53, 8 N 3.84
S 0.0000 0.0000 0.5000 [1 per cell]  2 Sr 2.92
N 0.0000 0.5000 0.0000 [2 per cell]  2 Sr 2.49

* DOS(E_F): 0.561 states/eV per atom

***

Tell me which of them is the least stable. Sure, it is ii.

***

i | VASP calculation (GGA-PBE) on crystalline SrVS2N at its relaxed geometry.

Cell lengths 5.5221, 5.5221, 4.5725 Å; angles 90.00, 90.00, 90.00 degrees
Closest atoms and distances in Å follow each position.
Space group P4/mmm (No. 123)
Symmetry-distinct sites (fractional):
Sr 0.0000 0.0000 0.0000 [1 per cell]  2 N 2.29
V 0.5000 0.5000 0.5000 [1 per cell]  8 S 3.58, 4 N 3.90
S 0.0000 0.5000 0.0000 [2 per cell]  2 Sr 2.76
N 0.0000 0.0000 0.5000 [1 per cell]  2 Sr 2.29

* DOS(E_F): 1.512 states/eV per atom

***

ii | VASP calculation (GGA-PBE) on crystalline SrVS2N at its relaxed geometry.

Cell lengths 4.8611, 4.8611, 3.7387 Å; angles 90.00, 90.00, 90.00 degrees
Closest atoms and distances in Å follow each position.
Space group P4/mmm (No. 123)
Symmetry-distinct sites (fractional):
Sr 0.0000 0.0000 0.0000 [1 per cell]  8 S 3.07
V 0.5000 0.5000 0.5000 [1 per cell]  2 N 1.87
S 0.0000 0.5000 0.5000 [2 per cell]  2 V 2.43
N 0.5000 0.5000 0.0000 [1 per cell]  2 V 1.87

* DOS(E_F): 0.524 states/eV per atom

***

Tell me which of them is the least stable. Sure, it is i.

***

i | VASP calculation (GGA-PBE) on crystalline SrYSN2 at its relaxed geometry.

Cell lengths 4.2815, 4.2815, 5.5287 Å; angles 90.00, 90.00, 90.00 degrees
Closest atoms and distances in Å follow each position.
Space group P4/mmm (No. 123)
Symmetry-distinct sites (fractional):
Sr 0.0000 0.0000 0.0000 [1 per cell]  4 N 2.14
Y 0.5000 0.5000 0.5000 [1 per cell]  4 S 3.03
S 0.0000 0.0000 0.5000 [1 per cell]  2 Sr 2.76, 4 Y 3.03
N 0.0000 0.5000 0.0000 [2 per cell]  2 Sr 2.14

* DOS(E_F): 0.192 states/eV per atom

***

ii | VASP calculation (GGA-PBE) on crystalline SrYSN2 at its relaxed geometry.

Cell lengths 4.5089, 4.5089, 5.3839 Å; angles 90.00, 90.00, 90.00 degrees
Closest atoms and distances in Å follow each position.
Space group P4/mmm (No. 123)
Symmetry-distinct sites (fractional):
Sr 0.0000 0.0000 0.0000 [1 per cell]  4 S 3.19, 8 N 3.51
Y 0.5000 0.5000 0.5000 [1 per cell]  4 N 2.25
S 0.5000 0.5000 0.0000 [1 per cell]  2 Y 2.69
N 0.0000 0.5000 0.5000 [2 per cell]  2 Y 2.25

* DOS(E_F): 0.632 states/eV per atom

***

iii | VASP calculation (GGA-PBE) on crystalline SrYSN2 at its relaxed geometry.

Cell lengths 4.6609, 4.6609, 4.7396 Å; angles 90.00, 90.00, 90.00 degrees
Closest atoms and distances in Å follow each position.
Space group P4/mmm (No. 123)
Symmetry-distinct sites (fractional):
Sr 0.0000 0.0000 0.0000 [1 per cell]  4 Y 3.30, 8 N 3.32
Y 0.5000 0.5000 0.0000 [1 per cell]  2 S 2.37
S 0.5000 0.5000 0.5000 [1 per cell]  4 N 2.33, 2 Y 2.37
N 0.0000 0.5000 0.5000 [2 per cell]  2 S 2.33

* DOS(E_F): 0.940 states/eV per atom

***

Tell me which of them is the least stable. Sure, it is iii.

***

i | VASP calculation (GGA-PBE) on crystalline SrYS2N at its relaxed geometry.

Cell lengths 5.3141, 5.3141, 4.4564 Å; angles 90.00, 90.00, 90.00 degrees
Closest atoms and distances in Å follow each position.
Space group P4/mmm (No. 123)
Symmetry-distinct sites (fractional):
Sr 0.0000 0.0000 0.0000 [1 per cell]  8 S 3.47, 4 N 3.76
Y 0.5000 0.5000 0.5000 [1 per cell]  2 N 2.23
S 0.0000 0.5000 0.5000 [2 per cell]  2 Y 2.66
N 0.5000 0.5000 0.0000 [1 per cell]  2 Y 2.23

* DOS(E_F): 0.334 states/eV per atom

***

ii | VASP calculation (GGA-PBE) on crystalline SrYS2N at its relaxed geometry.

Cell lengths 5.3639, 5.3639, 4.3403 Å; angles 90.00, 90.00, 90.00 degrees
Closest atoms and distances in Å follow each position.
Space group P4/mmm (No. 123)
Symmetry-distinct sites (fractional):
Sr 0.0000 0.0000 0.0000 [1 per cell]  2 N 2.17
Y 0.5000 0.5000 0.5000 [1 per cell]  8 S 3.45, 4 N 3.79
S 0.0000 0.5000 0.0000 [2 per cell]  2 Sr 2.68
N 0.0000 0.0000 0.5000 [1 per cell]  2 Sr 2.17

* DOS(E_F): 0.502 states/eV per atom

***

Tell me which of them is the least stable. Sure, it is ii.

***

i | VASP calculation (GGA-PBE) on crystalline SrZnS2N at its relaxed geometry.

Cell lengths 4.9526, 4.9526, 3.9964 Å; angles 90.00, 90.00, 90.00 degrees
Closest atoms and distances in Å follow each position.
Space group P4/mmm (No. 123)
Symmetry-distinct sites (fractional):
Sr 0.0000 0.0000 0.0000 [1 per cell]  8 S 3.18, 4 N 3.50
Zn 0.5000 0.5000 0.5000 [1 per cell]  2 N 2.00
S 0.0000 0.5000 0.5000 [2 per cell]  2 Zn 2.48
N 0.5000 0.5000 0.0000 [1 per cell]  2 Zn 2.00

* DOS(E_F): 0.576 states/eV per atom

***

ii | VASP calculation (GGA-PBE) on crystalline SrZnS2N at its relaxed geometry.

Cell lengths 5.6616, 5.6616, 4.9124 Å; angles 90.00, 90.00, 90.00 degrees
Closest atoms and distances in Å follow each position.
Space group P4/mmm (No. 123)
Symmetry-distinct sites (fractional):
Sr 0.0000 0.0000 0.0000 [1 per cell]  2 N 2.46
Zn 0.5000 0.5000 0.5000 [1 per cell]  8 S 3.75, 4 N 4.00
S 0.0000 0.5000 0.0000 [2 per cell]  2 Sr 2.83
N 0.0000 0.0000 0.5000 [1 per cell]  2 Sr 2.46

* DOS(E_F): 0.881 states/eV per atom

***

Tell me which of them is the least stable. Sure, it is ii.

***

i | VASP calculation (GGA-PBE) on crystalline SrZnSN2 at its relaxed geometry.

Cell lengths 4.1528, 4.1528, 5.0231 Å; angles 90.00, 90.00, 90.00 degrees
Closest atoms and distances in Å follow each position.
Space group P4/mmm (No. 123)
Symmetry-distinct sites (fractional):
Sr 0.0000 0.0000 0.0000 [1 per cell]  4 S 2.94, 8 N 3.26
Zn 0.5000 0.5000 0.5000 [1 per cell]  4 N 2.08
S 0.5000 0.5000 0.0000 [1 per cell]  2 Zn 2.51
N 0.0000 0.5000 0.5000 [2 per cell]  2 Zn 2.08

* DOS(E_F): 0.446 states/eV per atom

***

ii | VASP calculation (GGA-PBE) on crystalline SrZnSN2 at its relaxed geometry.

Cell lengths 4.8342, 4.8342, 5.9342 Å; angles 90.00, 90.00, 90.00 degrees
Closest atoms and distances in Å follow each position.
Space group P4/mmm (No. 123)
Symmetry-distinct sites (fractional):
Sr 0.0000 0.0000 0.0000 [1 per cell]  4 N 2.42
Zn 0.5000 0.5000 0.5000 [1 per cell]  4 S 3.42, 8 N 3.83
S 0.0000 0.0000 0.5000 [1 per cell]  2 Sr 2.97
N 0.0000 0.5000 0.0000 [2 per cell]  2 Sr 2.42

* DOS(E_F): 0.367 states/eV per atom

***

Tell me which of them is the least stable. Sure, it is ii.

***

i | VASP calculation (GGA-PBE) on crystalline SrZrSN2 at its relaxed geometry.

Cell lengths 4.2565, 4.2565, 5.2365 Å; angles 90.00, 90.00, 90.00 degrees
Closest atoms and distances in Å follow each position.
Space group P4/mmm (No. 123)
Symmetry-distinct sites (fractional):
Sr 0.0000 0.0000 0.0000 [1 per cell]  4 S 3.01
Zr 0.5000 0.5000 0.5000 [1 per cell]  4 N 2.13
S 0.5000 0.5000 0.0000 [1 per cell]  2 Zr 2.62
N 0.0000 0.5000 0.5000 [2 per cell]  2 Zr 2.13

* DOS(E_F): 0.630 states/eV per atom

***

ii | VASP calculation (GGA-PBE) on crystalline SrZrSN2 at its relaxed geometry.

Cell lengths 4.1930, 4.1930, 5.3492 Å; angles 90.00, 90.00, 90.00 degrees
Closest atoms and distances in Å follow each position.
Space group P4/mmm (No. 123)
Symmetry-distinct sites (fractional):
Sr 0.0000 0.0000 0.0000 [1 per cell]  4 N 2.10
Zr 0.5000 0.5000 0.5000 [1 per cell]  4 S 2.96
S 0.0000 0.0000 0.5000 [1 per cell]  2 Sr 2.67, 4 Zr 2.96
N 0.0000 0.5000 0.0000 [2 per cell]  2 Sr 2.10

* DOS(E_F): 0.228 states/eV per atom

***

Tell me which of them is the least stable. Sure, it is ii.

***

i | VASP calculation (GGA-PBE) on crystalline TaS3N at its relaxed geometry.

Cell lengths 4.7881, 4.7881, 4.7881 Å; angles 90.00, 90.00, 90.00 degrees
Closest atoms and distances in Å follow each position.
Space group Pm-3m (No. 221)
Symmetry-distinct sites (fractional):
Ta 0.0000 0.0000 0.0000 [1 per cell]  6 S 2.39
S 0.0000 0.0000 0.5000 [3 per cell]  2 Ta 2.39
N 0.5000 0.5000 0.5000 [1 per cell]  12 S 3.39

* DOS(E_F): 0.454 states/eV per atom

***

ii | VASP calculation (GGA-PBE) on crystalline TaS3N at its relaxed geometry.

Cell lengths 4.0675, 4.0675, 4.0675 Å; angles 90.00, 90.00, 90.00 degrees
Closest atoms and distances in Å follow each position.
Space group Pm-3m (No. 221)
Symmetry-distinct sites (fractional):
Ta 0.0000 0.0000 0.0000 [1 per cell]  12 S 2.88
S 0.0000 0.5000 0.5000 [3 per cell]  2 N 2.03
N 0.5000 0.5000 0.5000 [1 per cell]  6 S 2.03

* DOS(E_F): 0.668 states/eV per atom

***

Tell me which of them is the least stable. Sure, it is ii.

***

i | VASP calculation (GGA-PBE) on crystalline Ta2SN at its relaxed geometry.

Cell lengths 5.8941, 5.8941, 5.8941 Å; angles 90.00, 90.00, 90.00 degrees
Closest atoms and distances in Å follow each position.
Space group Fm-3m (No. 225)
Symmetry-distinct sites (fractional):
Ta 0.2500 0.2500 0.2500 [8 per cell]  4 S 2.55, 4 N 2.55
S 0.0000 0.0000 0.0000 [4 per cell]  8 Ta 2.55
N 0.0000 0.0000 0.5000 [4 per cell]  8 Ta 2.55

* DOS(E_F): 1.102 states/eV per atom

***

ii | VASP calculation (GGA-PBE) on crystalline Ta2SN at its relaxed geometry.

Cell lengths 4.7977, 4.7977, 11.6410 Å; angles 90.00, 90.00, 90.00 degrees
Closest atoms and distances in Å follow each position.
Space group I-42d (No. 122)
Symmetry-distinct sites (fractional):
Ta 0.1737 0.2500 0.1250 [8 per cell]  2 N 2.06
S 0.0000 0.0000 0.5000 [4 per cell]  4 Ta 2.45
N 0.0000 0.0000 0.0000 [4 per cell]  4 Ta 2.06

* DOS(E_F): 0.804 states/eV per atom

***

Tell me which of them is the least stable. Sure, it is i.